(1)
Density functional theory data (PBE-GGA) for an optimized crystal structure of Ta2MoBr.

abc: 2.9562 2.9562 8.2322
angles: 90.00 90.00 90.00
Space group P4mm (No. 99)
Asymmetric unit:
1 Ta 0.0000 0.0000 0.0000 x1
2 Ta 0.5000 0.5000 0.2641 x1
3 Mo 0.5000 0.5000 0.7457 x1
4 Br 0.0000 0.0000 0.5081 x1

## Properties
As for the volume: 72 Å³/cell. Its distance to the lowest polymorph of the same formula is 0.313 eV per atom.

---

(2)
Density functional theory data (PBE-GGA) for an optimized crystal structure of Ta2MoBr.

abc: 10.0787 3.1675 4.6890
angles: 90.00 101.76 90.00
Space group Cm (No. 8)
Asymmetric unit:
1 Ta 0.0000 0.0000 0.0000 x2
2 Ta 0.2405 0.5000 0.2164 x2
3 Mo 0.4861 0.0000 0.4430 x2
4 Br 0.2661 0.0000 0.7111 x2

## Properties
As for the volume: 147 Å³/cell. Its distance to the lowest polymorph of the same formula is 0.322 eV per atom.

---

(3)
Density functional theory data (PBE-GGA) for an optimized crystal structure of TaMo2Br.

abc: 6.4890 6.4890 6.4890
angles: 90.00 90.00 90.00
Space group Fm-3m (No. 225)
Asymmetric unit:
1 Ta 0.0000 0.0000 0.0000 x4
2 Mo 0.2500 0.2500 0.2500 x8
3 Br 0.0000 0.0000 0.5000 x4

## Properties
As for the volume: 273 Å³/cell. Its distance to the lowest polymorph of the same formula is 0.538 eV per atom.

---

(4)
Density functional theory data (PBE-GGA) for an optimized crystal structure of Ta2MoBr.

abc: 3.2775 5.0620 9.1379
angles: 90.00 90.00 90.00
Space group Cmm2 (No. 35)
Asymmetric unit:
1 Ta 0.0000 0.0000 0.0000 x2
2 Ta 0.0000 0.5000 0.2503 x2
3 Mo 0.0000 0.0000 0.4711 x2
4 Br 0.0000 0.5000 0.7622 x2

## Properties
As for the volume: 152 Å³/cell. Its distance to the lowest polymorph of the same formula is 0.058 eV per atom.

---

(5)
Density functional theory data (PBE-GGA) for an optimized crystal structure of TaMo2Br.

abc: 9.8529 3.1237 4.6832
angles: 90.00 99.91 90.00
Space group C2/m (No. 12)
Asymmetric unit:
1 Ta 0.0000 0.0000 0.0000 x2
2 Mo 0.2354 0.5000 0.2120 x4
3 Br 0.0000 0.5000 0.5000 x2

## Properties
As for the volume: 142 Å³/cell. Its distance to the lowest polymorph of the same formula is 0.298 eV per atom.

---

(6)
Density functional theory data (PBE-GGA) for an optimized crystal structure of Ta2MoBr.

abc: 3.1924 3.1924 7.5768
angles: 90.00 90.00 90.00
Space group P4/mmm (No. 123)
Asymmetric unit:
1 Ta 0.0000 0.0000 0.2027 x2
2 Mo 0.5000 0.5000 0.0000 x1
3 Br 0.5000 0.5000 0.5000 x1

## Properties
As for the volume: 77 Å³/cell. Its distance to the lowest polymorph of the same formula is 0.000 eV per atom.